[1]
# LaCuTc (PBE, optimized geometry)
data_LaCuTc
_space_group_name_H-M_alt 'P -6 m 2'
_space_group_IT_number 187
_space_group_name_Hall 'P -6 2'
_cell_length_a 4.3222
_cell_length_b 4.3222
_cell_length_c 3.9311
_cell_angle_alpha 90.00
_cell_angle_beta 90.00
_cell_angle_gamma 120.00
loop_
_atom_site_label
_atom_site_fract_x
_atom_site_fract_y
_atom_site_fract_z
_atom_site_occupancy
La1 0.0000 0.0000 0.0000 1
Cu1 0.3333 0.6667 0.5000 1
Tc1 0.6667 0.3333 0.5000 1
# Mass density: 7.8 g/cm3
# E above lowest polymorph: 0.000 eV per atom
# Energy of formation from the pure elements: 268 meV/atom

[2]
# La3CuTc (PBE, optimized geometry)
data_La3CuTc
_space_group_name_H-M_alt 'P 1 21/c 1'
_space_group_IT_number 14
_cell_length_a 8.7641
_cell_length_b 8.2569
_cell_length_c 7.5938
_cell_angle_alpha 90.00
_cell_angle_beta 98.40
_cell_angle_gamma 90.00
loop_
_space_group_symop_operation_xyz
'x,y,z'
'-x,-y,-z'
'-x,y+1/2,-z+1/2'
'x,-y+1/2,z+1/2'
loop_
_atom_site_label
_atom_site_fract_x
_atom_site_fract_y
_atom_site_fract_z
_atom_site_occupancy
La1 0.1070 0.2208 0.0091 1
La2 0.2172 0.6102 0.8199 1
La3 0.3831 0.5115 0.2938 1
Cu1 0.4544 0.1793 0.4741 1
Tc1 0.0821 0.5485 0.2025 1
# Mass density: 7.1 g/cm3
# E above lowest polymorph: 0.000 eV per atom
# Energy of formation from the pure elements: -34 meV/atom

[3]
# LaCu2Tc2 (PBE, optimized geometry)
data_LaCu2Tc2
_space_group_name_H-M_alt 'P 4/m b m'
_space_group_IT_number 127
_space_group_name_Hall '-P 4 2ab'
_cell_length_a 7.7027
_cell_length_b 7.7027
_cell_length_c 2.8616
_cell_angle_alpha 90.00
_cell_angle_beta 90.00
_cell_angle_gamma 90.00
loop_
_atom_site_label
_atom_site_fract_x
_atom_site_fract_y
_atom_site_fract_z
_atom_site_occupancy
La1 0.0000 0.0000 0.0000 1
Cu1 0.1803 0.3197 0.5000 1
Tc1 0.1082 0.6082 0.0000 1
# Mass density: 9.0 g/cm3
# E above lowest polymorph: 0.074 eV per atom
# Energy of formation from the pure elements: 299 meV/atom

[4]
# La4CuTc (PBE, optimized geometry)
data_La4CuTc
_space_group_name_H-M_alt 'F -4 3 m'
_space_group_IT_number 216
_space_group_name_Hall 'F -4 2 3'
_cell_length_a 8.7399
_cell_length_b 8.7399
_cell_length_c 8.7399
_cell_angle_alpha 90.00
_cell_angle_beta 90.00
_cell_angle_gamma 90.00
loop_
_atom_site_label
_atom_site_fract_x
_atom_site_fract_y
_atom_site_fract_z
_atom_site_occupancy
La1 0.1242 0.1242 0.1242 1
Cu1 0.0000 0.0000 0.5000 1
Tc1 0.2500 0.2500 0.7500 1
# Mass density: 7.1 g/cm3
# E above lowest polymorph: 1.015 eV per atom
# Energy of formation from the pure elements: 938 meV/atom

[5]
# LaCu3Tc (PBE, optimized geometry)
data_LaCu3Tc
_space_group_name_H-M_alt 'P m -3 m'
_space_group_IT_number 221
_space_group_name_Hall '-P 4 2 3'
_cell_length_a 4.8437
_cell_length_b 4.8437
_cell_length_c 4.8437
_cell_angle_alpha 90.00
_cell_angle_beta 90.00
_cell_angle_gamma 90.00
loop_
_atom_site_label
_atom_site_fract_x
_atom_site_fract_y
_atom_site_fract_z
_atom_site_occupancy
La1 0.0000 0.0000 0.0000 1
Cu1 0.0000 0.0000 0.5000 1
Tc1 0.5000 0.5000 0.5000 1
# Mass density: 6.2 g/cm3
# E above lowest polymorph: 1.473 eV per atom
# Energy of formation from the pure elements: 1962 meV/atom

[6]
# La2CuTc (PBE, optimized geometry)
data_La2CuTc
_space_group_name_H-M_alt 'F -4 3 m'
_space_group_IT_number 216
_space_group_name_Hall 'F -4 2 3'
_cell_length_a 6.9619
_cell_length_b 6.9619
_cell_length_c 6.9619
_cell_angle_alpha 90.00
_cell_angle_beta 90.00
_cell_angle_gamma 90.00
loop_
_atom_site_label
_atom_site_fract_x
_atom_site_fract_y
_atom_site_fract_z
_atom_site_occupancy
La1 0.0000 0.0000 0.0000 1
La2 0.2500 0.2500 0.2500 1
Cu1 0.0000 0.0000 0.5000 1
Tc1 0.2500 0.2500 0.7500 1
# Mass density: 8.6 g/cm3
# Energy of formation from the pure elements: 267 meV/atom